TePd14 | PBE-GGA | relaxed

Output
SG ... P2_1/m (11)
Volume ... 373.3 Å³/f.u.
Energy above the most stable polymorph in this dataset ... 39 meV per atom

Cell and atoms, written as extended XYZ:
```
30
Lattice="-4.1404 2.1234 3.9737 -2.6409 -2.5665 -1.3802 9.6125 -21.0227 20.6991" Properties=species:S:1:pos:R:3 pbc="T T T"
Pd -0.0791 -8.4923 10.3399
Pd 4.2311 -11.6907 13.6431
Pd 4.1886 -14.3560 18.6805
Pd 6.2730 -14.6891 15.3116
Pd 2.3116 -6.1110 6.9402
Pd 4.1866 -12.9850 16.1349
Pd 4.2800 -10.4058 11.1603
Pd 3.9109 -14.4599 13.8022
Pd 1.8602 -12.7549 14.5557
Pd 3.8671 -15.7684 16.3194
Pd -0.0365 -5.8265 5.3014
Pd 2.2356 -8.7004 11.9008
Pd 1.9677 -10.2073 9.6127
Pd 2.2917 -7.4278 9.4271
Pd 1.9161 -11.4823 12.0821
Pd 0.2845 -4.4139 7.6632
Pd -0.0352 -7.1971 7.8476
Pd 0.2410 -5.7229 10.1806
Pd 5.9578 -17.5184 15.5731
Pd 3.9556 -13.1738 11.3252
Pd -2.1214 -5.4932 8.6709
Pd -0.1283 -9.7768 12.8227
Pd 1.8400 -14.0715 17.0425
Pd -1.8065 -2.6634 8.4091
Pd 0.1961 -7.0089 12.6578
Pd 2.0125 -8.9202 7.1336
Pd 2.1394 -11.2625 16.8490
Pd 2.1841 -9.9755 14.3702
Te -2.0306 -4.2951 6.2693
Te 6.1821 -15.8870 17.7131
```

***

ZnAgSeO | PBE-GGA | relaxed

Output
SG ... P4/nmm (129)
Volume ... 68.5 Å³/f.u.
Energy above the most stable polymorph in this dataset ... 596 meV per atom

Cell and atoms, written as extended XYZ:
```
8
Lattice="3.6569 0.0000 0.0000 0.0000 3.6569 0.0000 0.0000 0.0000 10.2373" Properties=species:S:1:pos:R:3 pbc="T T T"
Zn 0.9142 2.7427 0.0000
Zn 2.7427 0.9142 0.0000
Ag 0.9142 0.9142 6.1972
Ag 2.7427 2.7427 4.0401
Se 2.7427 2.7427 8.3695
Se 0.9142 0.9142 1.8678
O 2.7427 2.7427 6.3846
O 0.9142 0.9142 3.8527
```

***

NaSnAuS3 | PBE-GGA | relaxed

Output
SG ... Pnma (62)
Volume ... 133.1 Å³/f.u.
Energy above the most stable polymorph in this dataset ... 4 meV per atom

Cell and atoms, written as extended XYZ:
```
24
Lattice="-1.1118 3.2692 1.7907 3.0670 -3.7635 8.7750 12.3946 5.3349 -2.0441" Properties=species:S:1:pos:R:3 pbc="T T T"
S 2.5845 1.0481 1.8036
S 5.7789 3.7384 3.1000
S 11.6277 6.8336 1.0808
S 9.1072 3.3163 1.7124
S 5.2426 1.5243 6.8093
S 2.7221 -1.9930 7.4408
S 8.5709 1.1021 5.4216
S 6.7574 5.6728 0.1760
S 12.3123 3.6481 3.0967
S 7.5924 -0.8322 8.3456
S 11.7653 3.7925 6.7181
S 2.0375 1.1925 5.4250
Au 9.6920 5.7419 1.8720
Au 10.8185 1.8111 5.5229
Au 3.5313 3.0295 2.9987
Au 4.6578 -0.9013 6.6496
Na 5.6881 0.8733 4.0496
Na 8.6618 3.9673 4.4720
Na 3.9619 -0.5377 9.7783
Na 10.3879 5.3782 -1.2567
Sn 6.8180 3.0758 0.7303
Sn 13.1558 5.1358 5.1291
Sn 1.1940 -0.2952 3.3925
Sn 7.5318 1.7648 7.7914
```

***

Ba2NaHg2 | PBE-GGA | relaxed

Output
SG ... I4/mmm (139)
Volume ... 213.9 Å³/f.u.
Energy ... -1.36 eV/atom

Cell and atoms, written as extended XYZ:
```
5
Lattice="0.0000 3.3311 9.6408 3.3295 0.0000 9.6408 3.3295 3.3311 0.0000" Properties=species:S:1:pos:R:3 pbc="T T T"
Hg 1.6648 1.6655 4.8204
Hg 4.9943 4.9966 14.4612
Na 0.0000 0.0000 0.0000
Ba 3.3295 3.3311 7.3715
Ba 3.3295 3.3311 11.9102
```

***

HfC | PBE-GGA | relaxed

Output
SG ... Fm-3m (225)
Volume ... 25.0 Å³/f.u.
Energy above the most stable polymorph in this dataset ... 0 meV per atom
Total magnetic moment ... 0.0 μB/f.u.

Cell and atoms, written as extended XYZ:
```
2
Lattice="0.9448 3.1032 -0.5131 0.3385 -2.2348 -2.3826 -2.9923 1.0519 0.8517" Properties=species:S:1:pos:R:3 pbc="T T T"
C -1.0237 2.0775 0.1693
Hf 0.0000 0.0000 0.0000
```

***

Nd3ReN5 | PBE-GGA | relaxed

Output
SG ... I4/mcm (140)
Volume ... 132.1 Å³/f.u.
Energy ... -8.57 eV/atom
Total magnetic moment ... 0.0 μB/f.u.

Cell and atoms, written as extended XYZ:
```
18
Lattice="-3.3819 3.3819 5.7734 3.3819 -3.3819 5.7734 3.3819 3.3819 -5.7734" Properties=species:S:1:pos:R:3 pbc="T T T"
Nd 0.0000 0.0000 8.6601
Nd 2.2171 1.1648 5.7734
Nd 1.1648 2.2171 0.0000
Nd -1.1648 2.2171 5.7734
Nd 0.0000 0.0000 2.8867
Nd 4.5467 1.1648 0.0000
N 1.0167 4.3986 -1.7263
N 0.0000 0.0000 0.0000
N 1.0167 2.3653 7.4997
N 2.3653 -1.0167 4.0471
N 1.0167 4.3986 1.7263
N 2.3653 -1.0167 7.4997
N 2.3653 1.0167 1.7263
N 1.0167 2.3653 4.0471
N 0.0000 0.0000 5.7734
N 2.3653 1.0167 -1.7263
Re 0.0000 3.3819 2.8867
Re 3.3819 0.0000 2.8867
```

***

CsBiPt | PBE-GGA | relaxed

Output
SG ... F-43m (216)
Volume ... 101.6 Å³/f.u.
Energy above the most stable polymorph in this dataset ... 0 meV per atom
Total magnetic moment ... 0.5 μB/f.u.

Cell and atoms, written as extended XYZ:
```
3
Lattice="0.0000 3.7032 3.7032 3.7032 0.0000 3.7032 3.7032 3.7032 0.0000" Properties=species:S:1:pos:R:3 pbc="T T T"
Bi 1.8516 1.8516 1.8516
Cs 5.5548 5.5548 5.5548
Pt 0.0000 0.0000 0.0000
```

***

YLuNO | PBE-GGA | relaxed

Output
SG ... Pmma (51)
Volume ... 64.2 Å³/f.u.
Energy above the most stable polymorph in this dataset ... 83 meV per atom
Total magnetic moment ... 0.0 μB/f.u.

Cell and atoms, written as extended XYZ:
```
8
Lattice="-1.9856 -3.4392 0.0000 0.0000 0.0000 4.7794 -5.8581 3.3822 0.0000" Properties=species:S:1:pos:R:3 pbc="T T T"
Lu -5.8260 1.0708 2.0955
Lu -2.0178 -1.1279 4.4851
N -1.8658 1.0772 4.4849
N -3.9922 2.3049 2.0952
O -1.8792 -1.2079 2.0967
O -5.9645 1.1508 4.4864
Y -3.8692 2.2339 4.4853
Y -1.9889 1.1483 2.0956
```